VASP calculation (GGA-PBE) on a relaxed structure of LaTa2Re.

abc: 4.017 4.017 5.034
angles: 90.00 90.00 90.00
Space group P4/mmm (No. 123)
Symmetry-distinct sites (fractional):
La 0.000 0.000 0.000
Ta 0.000 0.500 0.500
Re 0.500 0.500 0.000

## Properties
- distance to the lowest polymorph of the same formula (eV per atom) = 0.6199
- energy relative to the elements (eV per atom) = 0.756

***

VASP calculation (GGA-PBE) on a relaxed structure of La2TaRe.

abc: 5.125 5.125 3.628
angles: 90.00 90.00 90.00
Space group P4/mmm (No. 123)
Symmetry-distinct sites (fractional):
La 0.000 0.500 0.000
Ta 0.000 0.000 0.500
Re 0.500 0.500 0.500

## Properties
- distance to the lowest polymorph of the same formula (eV per atom) = 0.6935
- energy relative to the elements (eV per atom) = 0.819

***

VASP calculation (GGA-PBE) on a relaxed structure of LaTa4Re.

abc: 7.871 7.871 7.871
angles: 90.00 90.00 90.00
Space group F-43m (No. 216)
Symmetry-distinct sites (fractional):
La 0.000 0.000 0.000
Ta 0.125 0.125 0.375
Re 0.250 0.250 0.750

## Properties
- energy relative to the elements (eV per atom) = 0.493

***

VASP calculation (GGA-PBE) on a relaxed structure of LaTa3Re.

abc: 4.799 4.799 4.799
angles: 90.00 90.00 90.00
Space group Pm-3m (No. 221)
Symmetry-distinct sites (fractional):
La 0.000 0.000 0.000
Ta 0.000 0.000 0.500
Re 0.500 0.500 0.500

## Properties
- distance to the lowest polymorph of the same formula (eV per atom) = 1.8633
- energy relative to the elements (eV per atom) = 2.685

***

VASP calculation (GGA-PBE) on a relaxed structure of La2TaRe.

abc: 4.095 4.095 10.785
angles: 90.00 90.00 90.00
Space group I4/mmm (No. 139)
Symmetry-distinct sites (fractional):
La 0.000 0.500 0.250
Ta 0.000 0.000 0.000
Re 0.000 0.000 0.500

## Properties
- distance to the lowest polymorph of the same formula (eV per atom) = 0.5132
- energy relative to the elements (eV per atom) = 0.639

***

VASP calculation (GGA-PBE) on a relaxed structure of LaTa3Re.

abc: 4.962 4.962 4.962
angles: 90.00 90.00 90.00
Space group Pm-3m (No. 221)
Symmetry-distinct sites (fractional):
La 0.000 0.000 0.000
Ta 0.000 0.500 0.500
Re 0.500 0.500 0.500

## Properties
- distance to the lowest polymorph of the same formula (eV per atom) = 0.0000
- energy relative to the elements (eV per atom) = 0.821

***

VASP calculation (GGA-PBE) on a relaxed structure of LaTa2Re.

abc: 3.252 4.978 9.872
angles: 90.00 90.00 90.00
Space group Imm2 (No. 44)
Symmetry-distinct sites (fractional):
La 0.000 0.000 0.000
Ta 0.000 0.000 0.460
Ta 0.000 0.500 0.238
Re 0.000 0.500 0.750

## Properties
- distance to the lowest polymorph of the same formula (eV per atom) = 0.2968
- energy relative to the elements (eV per atom) = 0.432

***

VASP calculation (GGA-PBE) on a relaxed structure of La2TaRe.

abc: 4.084 4.084 5.415
angles: 90.00 90.00 90.00
Space group P4/mmm (No. 123)
Symmetry-distinct sites (fractional):
La 0.000 0.500 0.000
Ta 0.000 0.000 0.500
Re 0.500 0.500 0.500

## Properties
- distance to the lowest polymorph of the same formula (eV per atom) = 0.5169
- energy relative to the elements (eV per atom) = 0.643

***

> Which of these has the lowest energy relative to the elements?

number 7

***

> Which value of energy relative to the elements does entry 8 give?

0.643 eV per atom

***

> What is the formula in the second record?

La2TaRe